Entry from Alexandria via LeMat-Bulk: crystalline BeCoPt2 at its relaxed geometry (PBE).

Cell lengths 3.9056, 3.9038, 3.3877 Å; angles 90.00, 90.00, 90.00 degrees
Fractional positions:
Be 0.5000 0.0000 0.5000
Co 0.0000 0.5000 0.5000
Pt 0.0000 0.0000 0.0000
Pt 0.5000 0.5000 0.0000

Output
- E_form (eV per atom) = -0.2482
- electronic total energy (eV/atom) = -5.9766
- size of the total moment (μB per formula unit) = 2.4